Al2VZn after structural relaxation, computed with PBE-GGA.

The structure belongs to space group I-42d (No. 122); the cell edges are 6.957, 6.957 and 5.332 Å and the angles 90.00°, 90.00° and 90.00°. The distinct sites, in fractional coordinates, are Al at (0.231, 0.250, 0.125), V at (0.000, 0.000, 0.500) and Zn at (0.000, 0.000, 0.000).

The calculation puts the energy relative to the elements at 0.311 eV/atom. For the total DFT energy (no corrections), the calculation gives -4.16 eV per atom.

---

TbGdCo2 after structural relaxation, computed with PBE-GGA.

The structure belongs to space group P4/mmm (No. 123); the cell edges are 4.754, 4.754 and 3.375 Å and the angles 90.00°, 90.00° and 90.00°. The distinct sites, in fractional coordinates, are Tb at (0.000, 0.000, 0.000), Gd at (0.500, 0.500, 0.000) and Co at (0.000, 0.500, 0.500).

The calculation puts the energy relative to the elements at -0.115 eV/atom. The energy above the most stable polymorph in this dataset is 0.3 kJ/mol of formula units. For the total DFT energy (no corrections), the calculation gives -8.35 eV per atom.

---

TaCd3Pd12 after structural relaxation, computed with PBE-GGA.

The structure belongs to space group P4/mmm (No. 123); the cell edges are 4.005, 4.005 and 16.153 Å and the angles 90.00°, 90.00° and 90.00°. The distinct sites, in fractional coordinates, are Ta at (0.000, 0.000, 0.000), Cd at (0.000, 0.000, 0.249), Cd at (0.000, 0.000, 0.500), Pd at (0.000, 0.500, 0.117), Pd at (0.000, 0.500, 0.374), Pd at (0.500, 0.500, 0.000), Pd at (0.500, 0.500, 0.245) and Pd at (0.500, 0.500, 0.500).

The calculation puts the energy relative to the elements at -0.330 eV/atom. For the total DFT energy (no corrections), the calculation gives -5.14 eV per atom.

---

AcSmHgPd after structural relaxation, computed with PBE-GGA.

The structure belongs to space group F-43m (No. 216); the cell edges are 7.637, 7.637 and 7.637 Å and the angles 90.00°, 90.00° and 90.00°. The distinct sites, in fractional coordinates, are Ac at (0.000, 0.000, 0.000), Sm at (0.000, 0.000, 0.500), Hg at (0.250, 0.250, 0.250) and Pd at (0.250, 0.250, 0.750).

The calculation puts the energy relative to the elements at -0.540 eV/atom. For the total DFT energy (no corrections), the calculation gives -4.12 eV per atom.

---

Mg2AsCl after structural relaxation, computed with PBE-GGA.

The structure belongs to space group C2/m (No. 12); the cell edges are 7.225, 3.886 and 7.186 Å and the angles 90.00°, 117.03° and 90.00°. The distinct sites, in fractional coordinates, are Mg at (0.235, 0.000, 0.305), As at (0.000, 0.000, 0.500) and Cl at (0.000, 0.500, 0.000).

The energy above the most stable polymorph in this dataset is 0.0 kJ/mol of formula units. For the total DFT energy (no corrections), the calculation gives -3.37 eV per atom. As for the uncorrected formation energy: -948.5 meV/atom.

---

LaTaMo2 after structural relaxation, computed with PBE-GGA.

The structure belongs to space group Pm (No. 6); the cell edges are 3.054, 4.268 and 6.643 Å and the angles 90.00°, 102.88° and 90.00°. The distinct sites, in fractional coordinates, are La at (0.000, 0.000, 0.000), Ta at (0.376, 0.500, 0.671), Mo at (0.551, 0.500, 0.306) and Mo at (0.939, 0.000, 0.478).

The calculation puts the energy relative to the elements at 0.430 eV/atom. The energy above the most stable polymorph in this dataset is 54.2 kJ/mol of formula units. For the total DFT energy (no corrections), the calculation gives -9.18 eV per atom.

---

CuTcAs2 after structural relaxation, computed with PBE-GGA.

The structure belongs to space group I-4m2 (No. 119); the cell edges are 3.717, 3.717 and 8.854 Å and the angles 90.00°, 90.00° and 90.00°. The distinct sites, in fractional coordinates, are Cu at (0.000, 0.000, 0.000), Tc at (0.000, 0.500, 0.750), As at (0.000, 0.000, 0.500) and As at (0.000, 0.500, 0.250).

The calculation puts the energy relative to the elements at 0.289 eV/atom. The energy above the most stable polymorph in this dataset is 106.1 kJ/mol of formula units. For the total DFT energy (no corrections), the calculation gives -5.65 eV per atom.

---

Ir2PbCl after structural relaxation, computed with PBE-GGA.

The structure belongs to space group F-43m (No. 216); the cell edges are 6.655, 6.655 and 6.655 Å and the angles 90.00°, 90.00° and 90.00°. The distinct sites, in fractional coordinates, are Ir at (0.000, 0.000, 0.000), Ir at (0.250, 0.250, 0.250), Pb at (0.000, 0.000, 0.500) and Cl at (0.250, 0.250, 0.750).

The energy above the most stable polymorph in this dataset is 247.3 kJ/mol of formula units. For the total DFT energy (no corrections), the calculation gives -4.98 eV per atom. As for the uncorrected formation energy: 838.9 meV/atom.

---

> Which value of total DFT energy (no corrections) does entry 5 give?

-3.37 eV per atom

---

> Among the records above, which one has the highest total DFT energy (no corrections)?

Mg2AsCl